DFT (PBE) results for PRuPb after structural relaxation.

Results
Calculated volume, Å³/atom: 20.1
Fermi-level density of states, states/eV/atom: 0.38
Energy relative to the elements, eV per atom: -0.28

a = 4.0846 Å, b = 4.0846 Å, c = 7.2374 Å
α = 90.00°, β = 90.00°, γ = 90.00°
Closest atoms and distances in Å follow each position.
Fractional positions:
P: 0.5000 0.0000 0.6631  4 Ru 2.36
P: 0.0000 0.5000 0.3369  4 Ru 2.36
Pb: 0.5000 0.0000 0.1512  5 P 3.19-3.53, 4 Ru 3.25
Pb: 0.0000 0.5000 0.8488  5 P 3.19-3.53, 4 Ru 3.25
Ru: 0.5000 0.5000 0.5000  4 P 2.36
Ru: 0.0000 0.0000 0.5000  4 P 2.36